[1]
DFT (PBE) results for RbNaY2P after structural relaxation.

It has space group P4/mmm (No. 123), with a = 5.6990 Å, b = 5.6990 Å, c = 5.0167 Å, α = 90.00°, β = 90.00° and γ = 90.00°. Symmetry generates all atoms from Rb at (0.0000, 0.0000, 0.0000), Na at (0.0000, 0.0000, 0.5000), Y at (0.0000, 0.5000, 0.0000) and P at (0.5000, 0.5000, 0.5000).

For the energy of formation from the pure elements, the calculation gives 1.490 eV/atom. The calculation puts the total energy at -13.17 eV for the cell shown.

***

[2]
DFT (PBE) results for Mg3CuPt3 after structural relaxation.

It has space group Cmmm (No. 65), with a = 8.8270 Å, b = 9.0114 Å, c = 5.9366 Å, α = 90.00°, β = 90.00° and γ = 90.00°. Symmetry generates all atoms from Mg at (0.0000, 0.2503, 0.0000), Mg at (0.2131, 0.0000, 0.5000), Mg at (0.2456, 0.5000, 0.0000), Cu at (0.0000, 0.2444, 0.5000), Pt at (0.0000, 0.5000, 0.2665) and Pt at (0.2500, 0.2500, 0.2563).

For the energy of formation from the pure elements, the calculation gives -0.600 eV/atom. The calculation puts the total energy at -124.82 eV for the cell shown.

***

[3]
DFT (PBE) results for SiHgN2F after structural relaxation.

It has space group P4/mmm (No. 123), with a = 3.7048 Å, b = 3.7048 Å, c = 3.8538 Å, α = 90.00°, β = 90.00° and γ = 90.00°. Symmetry generates all atoms from Si at (0.0000, 0.0000, 0.0000), Hg at (0.5000, 0.5000, 0.5000), N at (0.0000, 0.5000, 0.0000) and F at (0.0000, 0.0000, 0.5000).

The calculation puts the total energy at -24.29 eV for the cell shown. As for the polymorph energy (0 for the lowest one): 0 meV/atom. As for the uncorrected formation energy: -9 meV per atom.

***

[4]
DFT (PBE) results for Tb2Pr5Cd4 after structural relaxation.

It has space group C2/m (No. 12), with a = 23.5376 Å, b = 3.5814 Å, c = 8.2801 Å, α = 90.00°, β = 100.14° and γ = 90.00°. Symmetry generates all atoms from Tb at (0.0781, 0.0000, 0.1710), Pr at (0.0000, 0.0000, 0.5000), Pr at (0.1396, 0.5000, 0.5357), Pr at (0.1850, 0.5000, 0.0000), Cd at (0.0450, 0.5000, 0.8382) and Cd at (0.2235, 0.0000, 0.3330).

For the energy of formation from the pure elements, the calculation gives -0.078 eV/atom. The calculation puts the total energy at -75.35 eV for the cell shown.

***

Computed values of M_tot (unit: μB per formula unit) for the preceding records, in sequence: 0.8 0.0 0.1 0.0.